Record 1
CdPbCl: optimized geometry, GGA-PBE.

Values from the calculation:
* uncorrected formation energy: -0.4 eV/f.u.

Lattice parameters (Å, degrees): 5.1948 5.1948 5.1948 60.00 60.00 60.00
Atoms (fractional coordinates):
Cl: 0.5000 0.5000 0.5000
Cd: 0.0000 0.0000 0.0000
Pb: 0.7500 0.7500 0.7500

Record 2
Dy6Ga3C: optimized geometry, GGA-PBE.

Values from the calculation:
* calculated formation energy: -0.398 eV per atom

Lattice parameters (Å, degrees): 6.3972 7.8581 9.8734 90.00 85.51 90.00
Atoms (fractional coordinates):
Dy: 0.6756 0.1530 0.9407
Dy: 0.8788 0.7092 0.9398
Dy: 0.1756 0.3470 0.4407
Dy: 0.1453 0.0462 0.7698
Dy: 0.3244 0.8470 0.0593
Dy: 0.8547 0.9538 0.2302
Dy: 0.3547 0.5462 0.7302
Dy: 0.3788 0.7908 0.4398
Dy: 0.8244 0.6530 0.5593
Dy: 0.1212 0.2908 0.0602
Dy: 0.6212 0.2092 0.5602
Dy: 0.6453 0.4538 0.2698
C: 0.0000 0.0000 0.0000
C: 0.5000 0.5000 0.5000
Ga: 0.5000 0.5000 0.0000
Ga: 0.0739 0.6152 0.2444
Ga: 0.0000 0.0000 0.5000
Ga: 0.4261 0.1152 0.2556
Ga: 0.9261 0.3848 0.7556
Ga: 0.5739 0.8848 0.7444

Record 3
HfSn2Pt: optimized geometry, GGA-PBE.

Values from the calculation:
* calculated formation energy: -0.160 eV per atom

Lattice parameters (Å, degrees): 4.2458 4.2458 10.4490 78.28 78.28 90.00
Atoms (fractional coordinates):
Hf: 0.5000 0.5000 0.0000
Hf: 0.2500 0.7500 0.5000
Pt: 0.0000 0.0000 0.0000
Pt: 0.7500 0.2500 0.5000
Sn: 0.3750 0.3630 0.7500
Sn: 0.8750 0.8870 0.7500
Sn: 0.6370 0.1250 0.2500
Sn: 0.1130 0.6250 0.2500

Calculated total energy for every record listed, in sequence, given in eV per atom: -2.31 -4.99 -6.16.